<1>
VASP calculation (PBE) on AcTlAg2 after structural relaxation.

As for the density: 10.27 g/cm³.

It has space group Fm-3m (No. 225), with a = 7.481 Å, b = 7.481 Å, c = 7.481 Å, α = 90.00°, β = 90.00° and γ = 90.00°. The inequivalent atoms are Ac at (0.000, 0.000, 0.000), Tl at (0.000, 0.000, 0.500) and Ag at (0.250, 0.250, 0.250).



<2>
VASP calculation (PBE) on AcTlAg2 after structural relaxation.

As for the density: 9.72 g/cm³.

It has space group P4/mmm (No. 123), with a = 5.023 Å, b = 5.023 Å, c = 4.382 Å, α = 90.00°, β = 90.00° and γ = 90.00°. The inequivalent atoms are Ac at (0.000, 0.000, 0.000), Tl at (0.500, 0.500, 0.000) and Ag at (0.000, 0.500, 0.500).



<3>
VASP calculation (PBE) on AcTlAg2 after structural relaxation.

As for the density: 9.79 g/cm³.

It has space group P4/mmm (No. 123), with a = 3.950 Å, b = 3.950 Å, c = 7.037 Å, α = 90.00°, β = 90.00° and γ = 90.00°. The inequivalent atoms are Ac at (0.000, 0.000, 0.000), Tl at (0.000, 0.000, 0.500) and Ag at (0.500, 0.500, 0.273).



Which one sits at the top of the stability order? <1> does.



<1>
VASP calculation (PBE) on Ac2Tl3Ag2 after structural relaxation.

As for the density: 10.05 g/cm³.

It has space group Cmmm (No. 65), with a = 4.809 Å, b = 22.356 Å, c = 3.944 Å, α = 90.00°, β = 90.00° and γ = 90.00°. The inequivalent atoms are Ac at (0.000, 0.161, 0.000), Tl at (0.000, 0.000, 0.000), Tl at (0.000, 0.427, 0.500) and Ag at (0.000, 0.284, 0.500).



<2>
VASP calculation (PBE) on Ac2Tl3Ag2 after structural relaxation.

As for the density: 10.34 g/cm³.

It has space group C2/m (No. 12), with a = 10.965 Å, b = 4.835 Å, c = 8.421 Å, α = 90.00°, β = 112.69° and γ = 90.00°. The inequivalent atoms are Ac at (0.132, 0.000, 0.287), Tl at (0.000, 0.500, 0.500), Tl at (0.129, 0.500, 0.940) and Ag at (0.165, 0.000, 0.705).



Which one sits at the top of the stability order? <2> does.



<1>
VASP calculation (PBE) on Ac6Tl3Ag after structural relaxation.

As for the density: 9.53 g/cm³.

It has space group P2_1/m (No. 11), with a = 10.270 Å, b = 5.729 Å, c = 12.911 Å, α = 90.00°, β = 107.15° and γ = 90.00°. The inequivalent atoms are Ac at (0.017, 0.250, 0.400), Ac at (0.159, 0.750, 0.177), Ac at (0.256, 0.250, 0.001), Ac at (0.361, 0.750, 0.838), Ac at (0.372, 0.250, 0.348), Ac at (0.389, 0.250, 0.626), Tl at (0.035, 0.750, 0.889), Tl at (0.127, 0.250, 0.726), Tl at (0.272, 0.750, 0.469) and Ag at (0.448, 0.750, 0.113).



<2>
VASP calculation (PBE) on Ac6Tl3Ag after structural relaxation.

As for the density: 8.77 g/cm³.

It has space group P2_1/c (No. 14), with a = 7.073 Å, b = 9.646 Å, c = 13.375 Å, α = 90.00°, β = 120.19° and γ = 90.00°. The inequivalent atoms are Ac at (0.062, 0.169, 0.435), Ac at (0.319, 0.683, 0.434), Ac at (0.411, 0.066, 0.257), Tl at (0.000, 0.000, 0.000), Tl at (0.173, 0.113, 0.758) and Ag at (0.500, 0.000, 0.500).



Which one sits at the top of the stability order? <1> does.



<1>
VASP calculation (PBE) on AcTmAg2 after structural relaxation.

As for the density: 9.04 g/cm³.

It has space group R-3m (No. 166, hexagonal axes), with a = 5.1099 Å, b = 5.1099 Å, c = 14.9073 Å, α = 90.00°, β = 90.00° and γ = 120.00°. The inequivalent atoms are Ac at (0.0000, 0.0000, 0.0000), Tm at (0.0000, 0.0000, 0.5000) and Ag at (0.0000, 0.0000, 0.2185).



<2>
VASP calculation (PBE) on AcTmAg2 after structural relaxation.

As for the density: 9.50 g/cm³.

It has space group P4/mmm (No. 123), with a = 3.729 Å, b = 3.729 Å, c = 7.684 Å, α = 90.00°, β = 90.00° and γ = 90.00°. The inequivalent atoms are Ac at (0.000, 0.000, 0.000), Tm at (0.000, 0.000, 0.500) and Ag at (0.500, 0.500, 0.291).



Which one sits at the top of the stability order? <2> does.



<1>
VASP calculation (PBE) on AcTmAg after structural relaxation.

As for the density: 9.09 g/cm³.

It has space group I4mm (No. 107), with a = 3.774 Å, b = 3.774 Å, c = 12.926 Å, α = 90.00°, β = 90.00° and γ = 90.00°. The inequivalent atoms are Ac at (0.000, 0.000, 0.000), Tm at (0.000, 0.000, 0.292) and Ag at (0.000, 0.000, 0.679).



<2>
VASP calculation (PBE) on AcTmAg after structural relaxation.

As for the density: 8.90 g/cm³.

It has space group P-6m2 (No. 187), with a = 5.1560 Å, b = 5.1560 Å, c = 4.0826 Å, α = 90.00°, β = 90.00° and γ = 120.00°. The inequivalent atoms are Ac at (0.0000, 0.0000, 0.0000), Tm at (0.3333, 0.6667, 0.5000) and Ag at (0.6667, 0.3333, 0.5000).



Which one sits at the top of the stability order? <1> does.



<1>
VASP calculation (PBE) on AcYAg2 after structural relaxation.

As for the density: 7.90 g/cm³.

It has space group Fm-3m (No. 225), with a = 7.646 Å, b = 7.646 Å, c = 7.646 Å, α = 90.00°, β = 90.00° and γ = 90.00°. The inequivalent atoms are Ac at (0.000, 0.000, 0.000), Y at (0.000, 0.000, 0.500) and Ag at (0.250, 0.250, 0.250).



<2>
VASP calculation (PBE) on AcYAg2 after structural relaxation.

As for the density: 8.06 g/cm³.

It has space group P4/mmm (No. 123), with a = 3.776 Å, b = 3.776 Å, c = 7.684 Å, α = 90.00°, β = 90.00° and γ = 90.00°. The inequivalent atoms are Ac at (0.000, 0.000, 0.000), Y at (0.000, 0.000, 0.500) and Ag at (0.500, 0.500, 0.285).



Which one sits at the top of the stability order? <2> does.